(1)
16
Lattice="6.196 -0.415 -0.224 -2.206 5.805 -0.224 -1.923 -2.597 7.359" Properties=species:S:1:pos:R:3 comment="NpCuHgO5 (PBE, relaxed)" space_group="C2/c (15)" pbc="T T T"
Cu -1.220 2.060 5.295
Cu 3.287 0.733 1.616
Hg -0.028 3.187 1.616
Hg 2.095 -0.395 5.295
Np -0.961 -1.299 3.680
Np 0.000 0.000 0.000
O 2.790 2.265 2.781
O 5.034 1.179 0.749
O 4.226 -1.973 5.295
O -1.303 3.860 4.429
O 0.390 2.031 6.460
O 1.677 0.761 0.451
O -2.967 1.613 6.162
O -2.159 4.765 1.616
O 3.370 -1.068 2.483
O -0.723 0.528 4.131

=====

(2)
15
Lattice="-2.477 -5.779 4.003 7.792 1.082 -0.556 -4.672 6.652 6.711" Properties=species:S:1:pos:R:3 comment="Np3CuHg3S8 (PBE, relaxed)" space_group="C2/m (12)" pbc="T T T"
Hg 2.657 -2.349 1.724
Hg 0.000 0.000 0.000
Hg 3.896 0.541 -0.278
Cu -2.336 3.326 3.355
Np -3.575 0.437 5.357
Np 1.560 3.867 3.077
Np 0.321 0.977 5.079
S -1.800 1.001 3.482
S 2.126 1.283 3.168
S 3.795 4.108 4.491
S 2.443 0.954 6.676
S -3.152 -2.153 5.667
S 0.265 3.530 5.259
S -1.484 0.672 6.990
S 0.377 -1.575 4.899

=====

(3)
12
Lattice="5.923 0.000 0.000 2.962 5.130 0.000 2.962 1.710 6.051" Properties=species:S:1:pos:R:3 comment="Cu2HgO3 (PBE, relaxed)" space_group="R-3m (166)" pbc="T T T"
Cu 2.962 0.000 0.000
Cu 1.481 2.565 0.000
Cu 4.442 2.565 0.000
Cu 0.000 0.000 0.000
O 7.295 2.628 5.184
O 7.295 4.212 0.867
O 5.923 5.004 5.184
O 4.552 2.628 5.184
O 4.552 4.212 0.867
O 5.923 1.836 0.867
Hg 8.885 5.130 3.247
Hg 2.962 1.710 2.804

=====

For the records above, the corresponding electronic total energy values read -6.816; -5.799; -4.214 eV/atom.
For the records above, the corresponding uncorrected formation energy values read -1.550; -0.676; -0.319 eV per atom.
For the records above, the corresponding D(E_F) values read 0.75; 1.49; 0.22 states/eV per atom.